This record from the Alexandria database describes a relaxed structure of Sm2Hg3Pd2. The functional is GGA-PBE.

a = 4.0863 Å, b = 5.6547 Å, c = 7.6014 Å
α = 93.98°, β = 90.00°, γ = 111.18°
Positions (direct):
Pd: 0.9048 0.8097 0.3695
Hg: 0.6936 0.3872 0.8597
Hg: 0.3064 0.6128 0.1403
Sm: 0.6198 0.2396 0.3383
Sm: 0.3802 0.7604 0.6617
Hg: 0.0000 0.0000 0.0000
Pd: 0.0952 0.1903 0.6305

Values from the calculation:
* offset from the most stable computed form: 36 meV/atom
* M_tot: 0.0 μB/f.u.